The following is a DFT calculation (PBE with a Hubbard U) of KW6O18 after structural relaxation.

POSCAR file:
```
KW6O18
1.0
7.516 0.000 0.000
-3.758 6.509 0.000
0.000 0.000 7.726
K W O
1 6 18
Direct
0.000 0.000 0.000 K
0.000 0.500 0.251 W
0.000 0.500 0.749 W
0.500 0.000 0.251 W
0.500 0.000 0.749 W
0.500 0.500 0.251 W
0.500 0.500 0.749 W
0.000 0.500 0.000 O
0.000 0.500 0.500 O
0.212 0.424 0.248 O
0.212 0.424 0.752 O
0.212 0.788 0.248 O
0.212 0.788 0.752 O
0.424 0.212 0.248 O
0.424 0.212 0.752 O
0.500 0.000 0.000 O
0.500 0.000 0.500 O
0.500 0.500 0.000 O
0.500 0.500 0.500 O
0.576 0.788 0.248 O
0.576 0.788 0.752 O
0.788 0.212 0.248 O
0.788 0.212 0.752 O
0.788 0.576 0.248 O
0.788 0.576 0.752 O
```

* E_tot: -7.381 eV per atom
* Fermi-level density of states: 1.646 states/eV/f.u.